Ba2MnRh after structural relaxation. Source: Alexandria via LeMat-Bulk, functional GGA-PBE.

Cell: 5.3650 5.3650 5.3650 Å, 60.00 60.00 60.00°
Last column: nearest neighbours and their distance in Å.
Fractional coordinates of all 4 atoms:
Ba1 0.0000 0.0000 0.0000  4 Mn 3.29, 4 Ba 3.29
Ba2 0.2500 0.2500 0.2500  4 Rh 3.29, 4 Ba 3.29
Mn1 0.7500 0.7500 0.7500  4 Rh 3.29, 4 Ba 3.29
Rh1 0.5000 0.5000 0.5000  4 Ba 3.29, 4 Mn 3.29

Summary:
Its calculated density is 6577 kg/m3. The space group is F-43m (216). Its density of states at the Fermi level is 0.828 states/eV per atom. As for the volume: 109.2 Å³/cell.

=====

Tb12PmPr5 after structural relaxation. Source: Alexandria via LeMat-Bulk, functional GGA-PBE.

Cell: 10.4496 10.4496 6.0194 Å, 90.01 90.01 113.13°
Last column: nearest neighbours and their distance in Å.
Fractional coordinates of all 18 atoms:
Tb1 0.0113 0.3444 0.0530  3 Pr 3.38-3.72, 6 Tb 3.40-3.75, 1 Pm 3.57
Tb2 0.1547 0.4879 0.5532  4 Pr 3.39-3.71, 6 Tb 3.40-3.75
Tb3 0.1780 0.1780 0.4433  1 Pm 3.36, 6 Tb 3.41-3.74, 3 Pr 3.57-3.72
Tb4 0.3195 0.3195 0.9435  3 Pr 3.38-3.58, 6 Tb 3.40-3.74, 1 Pm 3.70
Tb5 0.3444 0.0113 0.0530  3 Pr 3.38-3.72, 6 Tb 3.40-3.75, 1 Pm 3.57
Tb6 0.4879 0.1547 0.5532  4 Pr 3.39-3.71, 6 Tb 3.40-3.75
Tb7 0.5121 0.8453 0.4468  4 Pr 3.39-3.71, 6 Tb 3.40-3.75
Tb8 0.6556 0.9887 0.9470  3 Pr 3.38-3.72, 6 Tb 3.40-3.75, 1 Pm 3.57
Tb9 0.6805 0.6805 0.0565  3 Pr 3.38-3.58, 6 Tb 3.40-3.74, 1 Pm 3.70
Tb10 0.8220 0.8220 0.5567  1 Pm 3.36, 6 Tb 3.41-3.74, 3 Pr 3.57-3.72
Tb11 0.8453 0.5121 0.4468  4 Pr 3.39-3.71, 6 Tb 3.40-3.75
Tb12 0.9887 0.6556 0.9470  3 Pr 3.38-3.72, 6 Tb 3.40-3.75, 1 Pm 3.57
Pm1 0.0000 0.0000 0.0000  8 Tb 3.36-3.70
Pr1 0.1662 0.8338 0.5000  8 Tb 3.38-3.71
Pr2 0.3343 0.6657 0.0000  8 Tb 3.39-3.72
Pr3 0.5000 0.5000 0.5000  8 Tb 3.38-3.72
Pr4 0.6657 0.3343 0.0000  8 Tb 3.39-3.72
Pr5 0.8338 0.1662 0.5000  8 Tb 3.38-3.71

Summary:
Its calculated density is 7573 kg/m3. The space group is C2/m (12). Its density of states at the Fermi level is 1.569 states/eV per atom. As for the volume: 604.5 Å³/cell.

=====

LiLaSn2 after structural relaxation. Source: Alexandria via LeMat-Bulk, functional GGA-PBE.

Cell: 5.2075 5.2075 9.9005 Å, 90.00 90.00 120.00°
Last column: nearest neighbours and their distance in Å.
Fractional coordinates of all 8 atoms:
Li1 0.3333 0.6667 0.1103  4 Sn 2.90-3.09
Li2 0.6667 0.3333 0.8897  4 Sn 2.90-3.09
La1 0.0000 0.0000 0.3008  6 Sn 3.23-3.57, 3 Li 3.55
La2 0.0000 0.0000 0.6992  6 Sn 3.23-3.57, 3 Li 3.55
Sn1 0.3333 0.6667 0.5040  4 Sn 3.01-3.10
Sn2 0.3333 0.6667 0.8175  4 Li 2.90-3.09, 1 Sn 3.10, 3 La 3.23
Sn3 0.6667 0.3333 0.1825  4 Li 2.90-3.09, 1 Sn 3.10, 3 La 3.23
Sn4 0.6667 0.3333 0.4960  4 Sn 3.01-3.10

Summary:
Its calculated density is 5474 kg/m3. The space group is P-3m1 (164). Its density of states at the Fermi level is 0.163 states/eV per atom. As for the volume: 232.5 Å³/cell.

=====

KBaSrSn after structural relaxation. Source: Alexandria via LeMat-Bulk, functional GGA-PBE.

Cell: 6.1388 6.1388 6.1388 Å, 60.00 60.00 60.00°
Last column: nearest neighbours and their distance in Å.
Fractional coordinates of all 4 atoms:
K1 0.0000 0.0000 0.0000  4 Ba 3.76, 4 Sr 3.76
Ba1 0.2500 0.2500 0.2500  4 Sn 3.76, 4 K 3.76
Sr1 0.7500 0.7500 0.7500  4 Sn 3.76, 4 K 3.76
Sn1 0.5000 0.5000 0.5000  4 Ba 3.76, 4 Sr 3.76

Summary:
Its calculated density is 3885 kg/m3. The space group is F-43m (216). Its density of states at the Fermi level is 0.624 states/eV per atom. As for the volume: 163.6 Å³/cell.

=====

BaCaP2 after structural relaxation. Source: Alexandria via LeMat-Bulk, functional GGA-PBE.

Cell: 3.5608 3.5608 8.0585 Å, 90.00 90.00 90.00°
Last column: nearest neighbours and their distance in Å.
Fractional coordinates of all 4 atoms:
Ba1 0.0000 0.0000 0.0000  8 P 3.35, 4 Ba 3.56
Ca1 0.0000 0.0000 0.5000  8 P 3.11
P1 0.5000 0.5000 0.2733  4 Ca 3.11, 4 Ba 3.35
P2 0.5000 0.5000 0.7267  4 Ca 3.11, 4 Ba 3.35

Summary:
Its calculated density is 3890 kg/m3. The space group is P4/mmm (123). Its density of states at the Fermi level is 0.659 states/eV per atom. As for the volume: 102.2 Å³/cell.

=====

ErICl after structural relaxation. Source: Alexandria via LeMat-Bulk, functional GGA-PBE.

Cell: 3.9107 3.9107 7.5725 Å, 90.00 90.00 120.00°
Last column: nearest neighbours and their distance in Å.
Fractional coordinates of all 3 atoms:
Er1 0.0000 0.0000 0.0000  3 Cl 2.76, 3 I 3.02
I1 0.3333 0.6667 0.7357  3 Er 3.02
Cl1 0.6667 0.3333 0.2086  3 Er 2.76

Summary:
Its calculated density is 5457 kg/m3. The space group is P3m1 (156). Its density of states at the Fermi level is 0.535 states/eV per atom. As for the volume: 100.3 Å³/cell.

=====

Electronic total energy, respectively: -4.63, -4.58, -4.17, -2.44, -4.34, -4.14 eV/atom.